Entry 1:
HfSc2Ti | PBE | relaxed

Geometry as CIF:
```
data_HfSc2Ti
_cell_length_a 4.511
_cell_length_b 4.381
_cell_length_c 4.381
_cell_angle_alpha 90.00
_cell_angle_beta 90.00
_cell_angle_gamma 90.00
_space_group_name_H-M_alt 'P 1'
_space_group_IT_number 1
_space_group_name_Hall 'P 1'
loop_
_atom_site_label
_atom_site_fract_x
_atom_site_fract_y
_atom_site_fract_z
Sc1 0.000 0.000 0.500
Sc2 0.000 0.500 0.000
Hf1 0.500 0.000 0.000
Ti1 0.500 0.500 0.500
```

Computed properties:
**ρ**: 6.065 g/cm³
**Energy relative to the elements**: 0.5 eV per formula unit
**Space-group type**: P4/mmm, No. 123


Entry 2:
HfSc2Ti | PBE | relaxed

Geometry as CIF:
```
data_HfSc2Ti
_cell_length_a 3.109
_cell_length_b 3.109
_cell_length_c 8.968
_cell_angle_alpha 90.00
_cell_angle_beta 90.00
_cell_angle_gamma 90.00
_space_group_name_H-M_alt 'P 1'
_space_group_IT_number 1
_space_group_name_Hall 'P 1'
loop_
_atom_site_label
_atom_site_fract_x
_atom_site_fract_y
_atom_site_fract_z
Sc1 0.000 0.000 0.761
Sc2 0.000 0.000 0.239
Hf1 0.500 0.500 0.500
Ti1 0.500 0.500 0.000
```

Computed properties:
**ρ**: 6.060 g/cm³
**Energy relative to the elements**: 0.5 eV per formula unit
**Space-group type**: P4/mmm, No. 123


Entry 3:
HfSc2Ti | PBE | relaxed

Geometry as CIF:
```
data_HfSc2Ti
_cell_length_a 7.754
_cell_length_b 7.754
_cell_length_c 6.232
_cell_angle_alpha 51.53
_cell_angle_beta 51.53
_cell_angle_gamma 90.00
_space_group_name_H-M_alt 'P 1'
_space_group_IT_number 1
_space_group_name_Hall 'P 1'
loop_
_atom_site_label
_atom_site_fract_x
_atom_site_fract_y
_atom_site_fract_z
Sc1 0.605 0.125 0.250
Sc2 0.145 0.625 0.250
Sc3 0.375 0.395 0.750
Sc4 0.875 0.855 0.750
Hf1 0.000 0.000 0.000
Hf2 0.750 0.250 0.500
Ti1 0.500 0.500 0.000
Ti2 0.250 0.750 0.500
```

Computed properties:
**ρ**: 5.897 g/cm³
**Energy relative to the elements**: 2.2 eV per formula unit
**Space-group type**: I-42d, No. 122


Entry 4:
HfScTi3 | PBE | relaxed

Geometry as CIF:
```
data_HfScTi3
_cell_length_a 4.867
_cell_length_b 4.867
_cell_length_c 4.867
_cell_angle_alpha 90.00
_cell_angle_beta 90.00
_cell_angle_gamma 90.00
_space_group_name_H-M_alt 'P 1'
_space_group_IT_number 1
_space_group_name_Hall 'P 1'
loop_
_atom_site_label
_atom_site_fract_x
_atom_site_fract_y
_atom_site_fract_z
Sc1 0.500 0.500 0.500
Hf1 0.000 0.000 0.000
Ti1 0.000 0.500 0.000
Ti2 0.000 0.000 0.500
Ti3 0.500 0.000 0.000
```

Computed properties:
**ρ**: 5.288 g/cm³
**Energy relative to the elements**: 4.8 eV per formula unit
**Space-group type**: Pm-3m, No. 221


Entry 5:
HfScTi | PBE | relaxed

Geometry as CIF:
```
data_HfScTi
_cell_length_a 3.087
_cell_length_b 4.825
_cell_length_c 4.825
_cell_angle_alpha 120.00
_cell_angle_beta 90.00
_cell_angle_gamma 90.00
_space_group_name_H-M_alt 'P 1'
_space_group_IT_number 1
_space_group_name_Hall 'P 1'
loop_
_atom_site_label
_atom_site_fract_x
_atom_site_fract_y
_atom_site_fract_z
Sc1 0.167 0.000 0.000
Hf1 0.667 0.667 0.333
Ti1 0.167 0.333 0.667
```

Computed properties:
**ρ**: 7.238 g/cm³
**Energy relative to the elements**: 0.2 eV per formula unit
**Space-group type**: P-6m2, No. 187


Entry 6:
HfScTi | PBE | relaxed

Geometry as CIF:
```
data_HfScTi
_cell_length_a 3.143
_cell_length_b 4.902
_cell_length_c 8.372
_cell_angle_alpha 90.00
_cell_angle_beta 100.82
_cell_angle_gamma 90.00
_space_group_name_H-M_alt 'P 1'
_space_group_IT_number 1
_space_group_name_Hall 'P 1'
loop_
_atom_site_label
_atom_site_fract_x
_atom_site_fract_y
_atom_site_fract_z
Hf1 0.898 0.750 0.797
Hf2 0.102 0.250 0.203
Sc1 0.783 0.250 0.566
Sc2 0.217 0.750 0.434
Ti1 0.448 0.250 0.896
Ti2 0.552 0.750 0.104
```

Computed properties:
**ρ**: 7.112 g/cm³
**Energy relative to the elements**: 0.1 eV per formula unit
**Space-group type**: Cmcm, No. 63